The following is a PBE+U calculation of an optimized crystal structure of Ca4CoSi8Ni3O24, from Alexandria via LeMat-Bulk.

Cell: 5.3064 9.0063 9.8342 Å, 90.00 105.05 90.00°
Element x y z (fractional)
Ca: 0.0000 0.0000 0.0000
Ca: 0.0000 0.0933 0.5000
Ca: 0.5000 0.4996 0.5000
Ca: 0.5000 0.5932 0.0000
Co: 0.0000 0.7028 0.5000
Si: 0.1924 0.3884 0.7138
Si: 0.1939 0.7039 0.2126
Si: 0.3073 0.8902 0.7870
Si: 0.3079 0.2033 0.2867
Si: 0.6921 0.2033 0.7133
Si: 0.6927 0.8902 0.2130
Si: 0.8061 0.7039 0.7874
Si: 0.8076 0.3884 0.2862
Ni: 0.0000 0.3881 0.0000
Ni: 0.5000 0.2049 0.0000
Ni: 0.5000 0.8883 0.5000
O: 0.1028 0.7801 0.8498
O: 0.1050 0.3139 0.3504
O: 0.2086 0.5470 0.1377
O: 0.2105 0.5456 0.6398
O: 0.2232 0.2093 0.1158
O: 0.2246 0.8856 0.6161
O: 0.2769 0.3833 0.8847
O: 0.2809 0.7088 0.3835
O: 0.2903 0.0465 0.3613
O: 0.2907 0.0469 0.8619
O: 0.3948 0.2783 0.6496
O: 0.3966 0.8139 0.1485
O: 0.6034 0.8139 0.8515
O: 0.6052 0.2783 0.3504
O: 0.7093 0.0469 0.1381
O: 0.7097 0.0465 0.6387
O: 0.7191 0.7088 0.6165
O: 0.7231 0.3833 0.1153
O: 0.7754 0.8856 0.3839
O: 0.7768 0.2093 0.8842
O: 0.7895 0.5456 0.3602
O: 0.7914 0.5470 0.8623
O: 0.8950 0.3139 0.6496
O: 0.8972 0.7801 0.1502

Computed properties:
- total DFT energy (no corrections) (eV per atom) = -7.15